# Ac4Hg2BiN2 PBE optimized geometry
# VASP energy ... -5.00 eV per atom
data_Ac4Hg2BiN2
_symmetry_space_group_name_H-M 'C 1 2/m 1'
_symmetry_Int_Tables_number 12
_symmetry_space_group_name_Hall '-C 2y'
_cell_length_a 18.6135
_cell_length_b 4.3676
_cell_length_c 7.9224
_cell_angle_alpha 90.00
_cell_angle_beta 114.40
_cell_angle_gamma 90.00
loop_
_atom_site_label
_atom_site_fract_x
_atom_site_fract_y
_atom_site_fract_z
_atom_site_occupancy
Ac1 0.0537 0.0000 0.2591 1
Ac2 0.2185 0.5000 0.6604 1
Hg1 0.1169 0.5000 0.9880 1
Bi1 0.0000 0.5000 0.5000 1
N1 0.1836 0.0000 0.4772 1



# La2SiPt PBE optimized geometry
# VASP energy ... -5.63 eV per atom
data_La2SiPt
_symmetry_space_group_name_H-M 'I -4 2 d'
_symmetry_Int_Tables_number 122
_symmetry_space_group_name_Hall 'I -4 2bw'
_cell_length_a 6.2704
_cell_length_b 6.2704
_cell_length_c 14.8765
_cell_angle_alpha 90.00
_cell_angle_beta 90.00
_cell_angle_gamma 90.00
loop_
_atom_site_label
_atom_site_fract_x
_atom_site_fract_y
_atom_site_fract_z
_atom_site_occupancy
La1 0.2443 0.2500 0.1250 1
Si1 0.0000 0.0000 0.5000 1
Pt1 0.0000 0.0000 0.0000 1



# TbTlBiAu PBE optimized geometry
# VASP energy ... -3.86 eV per atom
data_TbTlBiAu
_symmetry_space_group_name_H-M 'F -4 3 m'
_symmetry_Int_Tables_number 216
_symmetry_space_group_name_Hall 'F -4 2 3'
_cell_length_a 7.6041
_cell_length_b 7.6041
_cell_length_c 7.6041
_cell_angle_alpha 90.00
_cell_angle_beta 90.00
_cell_angle_gamma 90.00
loop_
_atom_site_label
_atom_site_fract_x
_atom_site_fract_y
_atom_site_fract_z
_atom_site_occupancy
Tb1 0.0000 0.0000 0.0000 1
Tl1 0.0000 0.0000 0.5000 1
Bi1 0.2500 0.2500 0.2500 1
Au1 0.2500 0.2500 0.7500 1



# BaTl2Pd2Pb PBE optimized geometry
# VASP energy ... -3.62 eV per atom
data_BaTl2Pd2Pb
_symmetry_space_group_name_H-M 'P 4/m m m'
_symmetry_Int_Tables_number 123
_symmetry_space_group_name_Hall '-P 4 2'
_cell_length_a 5.1969
_cell_length_b 5.1969
_cell_length_c 6.7622
_cell_angle_alpha 90.00
_cell_angle_beta 90.00
_cell_angle_gamma 90.00
loop_
_atom_site_label
_atom_site_fract_x
_atom_site_fract_y
_atom_site_fract_z
_atom_site_occupancy
Ba1 0.0000 0.0000 0.0000 1
Tl1 0.5000 0.5000 0.2589 1
Pd1 0.0000 0.5000 0.5000 1
Pb1 0.0000 0.0000 0.5000 1